Density functional theory data (PBE+U) for a relaxed Cs3TlV2F9 crystal.

Output
SG: No. 164
Energy (eV/atom): -5.095
Fermi-level density of states (states/eV per atom): 0.595
Total magnetic moment (μB per cell): 5.00

Geometry as CIF:
```
data_Cs3TlV2F9
_chemical_formula_sum 'Cs3 Tl1 V2 F9'
_cell_length_a 6.375
_cell_length_b 6.375
_cell_length_c 8.070
_cell_angle_alpha 90.00
_cell_angle_beta 90.00
_cell_angle_gamma 120.00
_space_group_name_H-M_alt 'P 1'
_space_group_IT_number 1
_space_group_name_Hall 'P 1'
loop_
_atom_site_label
_atom_site_fract_x
_atom_site_fract_y
_atom_site_fract_z
Cs1 0.000 0.000 0.000
Cs2 0.333 0.667 0.660
Cs3 0.667 0.333 0.340
Tl1 0.000 0.000 0.500
V1 0.333 0.667 0.140
V2 0.667 0.333 0.860
F1 0.000 0.500 0.000
F2 0.187 0.373 0.286
F3 0.187 0.813 0.286
F4 0.373 0.187 0.714
F5 0.500 0.000 0.000
F6 0.500 0.500 0.000
F7 0.627 0.813 0.286
F8 0.813 0.187 0.714
F9 0.813 0.627 0.714
```